Entry 1:
Density functional theory data (PBE) for a geometry-optimized RbYNi2 structure.

a = 7.0761 Å, b = 7.0761 Å, c = 7.0761 Å
α = 90.00°, β = 90.00°, γ = 90.00°
Space group Fm-3m (No. 225)
Inequivalent atoms, fractional coordinates:
Rb 0.0000 0.0000 0.0000 (multiplicity 4)
Y 0.0000 0.0000 0.5000 (multiplicity 4)
Ni 0.2500 0.2500 0.2500 (multiplicity 8)

Computed properties:
Raw total energy ... -4.157 eV/atom
DOS at the Fermi energy ... 1.22 states/eV/f.u.
Excess energy over the best structure of this formula in the dataset ... 0.0000 eV/atom


Entry 2:
Density functional theory data (PBE) for a geometry-optimized RbYNi3 structure.

a = 5.0932 Å, b = 5.0932 Å, c = 5.0932 Å
α = 90.00°, β = 90.00°, γ = 90.00°
Space group Pm-3m (No. 221)
Inequivalent atoms, fractional coordinates:
Rb 0.0000 0.0000 0.0000 (multiplicity 1)
Y 0.5000 0.5000 0.5000 (multiplicity 1)
Ni 0.0000 0.5000 0.5000 (multiplicity 3)

Computed properties:
Raw total energy ... -3.919 eV/atom
DOS at the Fermi energy ... 6.83 states/eV/f.u.
Excess energy over the best structure of this formula in the dataset ... 0.0000 eV/atom


Entry 3:
Density functional theory data (PBE) for a geometry-optimized RbY2Ni structure.

a = 7.4988 Å, b = 7.4988 Å, c = 7.4988 Å
α = 90.00°, β = 90.00°, γ = 90.00°
Space group Fm-3m (No. 225)
Inequivalent atoms, fractional coordinates:
Rb 0.0000 0.0000 0.0000 (multiplicity 4)
Y 0.2500 0.2500 0.2500 (multiplicity 8)
Ni 0.0000 0.0000 0.5000 (multiplicity 4)

Computed properties:
Raw total energy ... -4.298 eV/atom
DOS at the Fermi energy ... 4.51 states/eV/f.u.
Excess energy over the best structure of this formula in the dataset ... 0.1213 eV/atom


Entry 4:
Density functional theory data (PBE) for a geometry-optimized RbYNi3 structure.

a = 4.7646 Å, b = 4.7646 Å, c = 4.7646 Å
α = 90.00°, β = 90.00°, γ = 90.00°
Space group Pm-3m (No. 221)
Inequivalent atoms, fractional coordinates:
Rb 0.0000 0.0000 0.0000 (multiplicity 1)
Y 0.5000 0.5000 0.5000 (multiplicity 1)
Ni 0.0000 0.0000 0.5000 (multiplicity 3)

Computed properties:
Raw total energy ... -3.404 eV/atom
DOS at the Fermi energy ... 3.92 states/eV/f.u.
Excess energy over the best structure of this formula in the dataset ... 0.5142 eV/atom


Entry 5:
Density functional theory data (PBE) for a geometry-optimized RbY2Ni structure.

a = 8.2316 Å, b = 8.2316 Å, c = 11.5761 Å
α = 90.00°, β = 90.00°, γ = 90.00°
Space group I-42d (No. 122)
Inequivalent atoms, fractional coordinates:
Rb 0.0000 0.0000 0.0000 (multiplicity 4)
Y 0.0013 0.7500 0.6250 (multiplicity 8)
Ni 0.0000 0.0000 0.5000 (multiplicity 4)

Computed properties:
Raw total energy ... -4.419 eV/atom
DOS at the Fermi energy ... 3.43 states/eV/f.u.
Excess energy over the best structure of this formula in the dataset ... 0.0000 eV/atom


Entry 6:
Density functional theory data (PBE) for a geometry-optimized RbYNi2 structure.

a = 7.7264 Å, b = 7.7264 Å, c = 6.5345 Å
α = 90.00°, β = 90.00°, γ = 90.00°
Space group I-42d (No. 122)
Inequivalent atoms, fractional coordinates:
Rb 0.0000 0.0000 0.0000 (multiplicity 4)
Y 0.0000 0.0000 0.5000 (multiplicity 4)
Ni 0.2153 0.7500 0.6250 (multiplicity 8)

Computed properties:
Raw total energy ... -4.067 eV/atom
DOS at the Fermi energy ... 0.98 states/eV/f.u.
Excess energy over the best structure of this formula in the dataset ... 0.0902 eV/atom


Entry 7:
Density functional theory data (PBE) for a geometry-optimized Rb2YNi structure.

a = 13.1354 Å, b = 13.1354 Å, c = 5.0102 Å
α = 90.00°, β = 90.00°, γ = 90.00°
Space group I-42d (No. 122)
Inequivalent atoms, fractional coordinates:
Rb 0.0968 0.7500 0.1250 (multiplicity 8)
Y 0.0000 0.0000 0.5000 (multiplicity 4)
Ni 0.0000 0.0000 0.0000 (multiplicity 4)

Computed properties:
Raw total energy ... -2.916 eV/atom
DOS at the Fermi energy ... 4.62 states/eV/f.u.
Excess energy over the best structure of this formula in the dataset ... 0.0000 eV/atom


Entry 8:
Density functional theory data (PBE) for a geometry-optimized RbY2Ni2 structure.

a = 8.3982 Å, b = 8.3982 Å, c = 3.5582 Å
α = 90.00°, β = 90.00°, γ = 90.00°
Space group P4/mbm (No. 127)
Inequivalent atoms, fractional coordinates:
Rb 0.0000 0.0000 0.0000 (multiplicity 2)
Y 0.1406 0.3594 0.5000 (multiplicity 4)
Ni 0.1208 0.6208 0.0000 (multiplicity 4)

Computed properties:
Raw total energy ... -4.959 eV/atom
DOS at the Fermi energy ... 3.87 states/eV/f.u.


Entry 9:
Density functional theory data (PBE) for a geometry-optimized Rb3YNi structure.

a = 6.4639 Å, b = 6.4639 Å, c = 6.4639 Å
α = 90.00°, β = 90.00°, γ = 90.00°
Space group Pm-3m (No. 221)
Inequivalent atoms, fractional coordinates:
Rb 0.0000 0.0000 0.5000 (multiplicity 3)
Y 0.5000 0.5000 0.5000 (multiplicity 1)
Ni 0.0000 0.0000 0.0000 (multiplicity 1)

Computed properties:
Raw total energy ... -2.061 eV/atom
DOS at the Fermi energy ... 6.41 states/eV/f.u.


Entry 10:
Density functional theory data (PBE) for a geometry-optimized RbZn2Ni2 structure.

a = 7.7850 Å, b = 7.7850 Å, c = 2.7999 Å
α = 90.00°, β = 90.00°, γ = 90.00°
Space group P4/mbm (No. 127)
Inequivalent atoms, fractional coordinates:
Rb 0.0000 0.0000 0.0000 (multiplicity 2)
Zn 0.1512 0.3488 0.5000 (multiplicity 4)
Ni 0.1269 0.6269 0.0000 (multiplicity 4)

Computed properties:
Raw total energy ... -2.750 eV/atom
DOS at the Fermi energy ... 1.92 states/eV/f.u.
Excess energy over the best structure of this formula in the dataset ... 0.0219 eV/atom


Entry 11:
Density functional theory data (PBE) for a geometry-optimized RbZn2Ni2 structure.

a = 4.3322 Å, b = 4.3322 Å, c = 10.2390 Å
α = 90.00°, β = 90.00°, γ = 90.00°
Space group I4/mmm (No. 139)
Inequivalent atoms, fractional coordinates:
Rb 0.0000 0.0000 0.0000 (multiplicity 2)
Zn 0.0000 0.5000 0.2500 (multiplicity 4)
Ni 0.0000 0.0000 0.3779 (multiplicity 4)

Computed properties:
Raw total energy ... -2.696 eV/atom
DOS at the Fermi energy ... 2.73 states/eV/f.u.
Excess energy over the best structure of this formula in the dataset ... 0.0756 eV/atom


Entry 12:
Density functional theory data (PBE) for a geometry-optimized RbZnNi2 structure.

a = 4.8169 Å, b = 4.8169 Å, c = 16.7735 Å
α = 90.00°, β = 90.00°, γ = 90.00°
Space group I4_1/amd (No. 141, origin choice 2)
Inequivalent atoms, fractional coordinates:
Rb 0.0000 0.2500 0.3750 (multiplicity 4)
Zn 0.0000 0.2500 0.8750 (multiplicity 4)
Ni 0.0000 0.0000 0.0000 (multiplicity 8)

Computed properties:
Raw total energy ... -2.953 eV/atom
DOS at the Fermi energy ... 2.28 states/eV/f.u.


What is the formula in the seventh record?
Rb2YNi


Number 12 is which compound?
RbZnNi2